## CaPrNdHg (PBE)

Data for a geometry-optimized CaPrNdHg structure.

Cell: 3.714 3.714 9.502 Å, 90.00 90.00 90.00°
Atoms (fractional coordinates):
Ca1 0.000 0.000 0.000
Pr1 0.500 0.500 0.311
Nd1 0.000 0.000 0.581
Hg1 0.500 0.500 0.795

- Energy relative to the elements: -1.0 eV/f.u.
- N(E_F): 5.1 states/eV/f.u.
- Total DFT energy (no corrections): -3.20 eV per atom
- Relative energy among the computed polymorphs: 0.000 eV/atom